Record 1
Crystalline CsCeTlI6 at its relaxed geometry, computed with PBE.

Cell: 8.6458 8.6458 15.8893 Å, 90.00 90.00 120.00°
Space group P-31c (No. 163)
Asymmetric unit:
Cs 0.0000 0.0000 0.0000 [2 per cell]
Ce 0.3333 0.6667 0.2500 [2 per cell]
Tl 0.3333 0.6667 0.7500 [2 per cell]
I 0.0374 0.3925 0.1379 [12 per cell]

Calculated values
Formation energy (no corrections) (kcal/mol of atoms): -26.54
VASP energy (eV per atom): -3.201
Size of the total moment (Bohr magnetons per cell): 0.0

Record 2
Crystalline CsCeInO4 at its relaxed geometry, computed with PBE.

Cell: 6.145 6.232 7.968 Å, 90.00 103.28 90.00°
Space group P2_1/m (No. 11)
Asymmetric unit:
Cs 0.146 0.250 0.106 [2 per cell]
Ce 0.169 0.750 0.471 [2 per cell]
In 0.392 0.250 0.675 [2 per cell]
O 0.140 0.018 0.661 [4 per cell]
O 0.273 0.750 0.214 [2 per cell]
O 0.475 0.250 0.431 [2 per cell]

Calculated values
Formation energy (no corrections) (kcal/mol of atoms): -50.06
VASP energy (eV per atom): -6.365
Size of the total moment (Bohr magnetons per cell): 0.0

Record 3
Crystalline Cs2CeIn2O6 at its relaxed geometry, computed with PBE.

Cell: 6.5452 6.5452 19.5638 Å, 90.00 90.00 120.00°
Space group R-3m (No. 166, hexagonal axes)
Asymmetric unit:
Cs 0.0000 0.0000 0.2041 [6 per cell]
Ce 0.0000 0.0000 0.0000 [3 per cell]
In 0.0000 0.0000 0.4011 [6 per cell]
O 0.0199 0.5100 0.7386 [18 per cell]

Calculated values
Formation energy (no corrections) (kcal/mol of atoms): -42.25
VASP energy (eV per atom): -5.729
Size of the total moment (Bohr magnetons per cell): 0.0